DFT (PBE) results for Cs4NaAu2 after structural relaxation.

Cell lengths 6.6499, 6.6499, 20.2016 Å; angles 90.00, 90.00, 120.06 degrees
Fractional positions:
1 Cs 0.0000 0.0000 0.0000
2 Cs 0.0000 0.0000 0.5000
3 Cs 0.3331 0.6669 0.6077
4 Cs 0.3331 0.6669 0.8923
5 Cs 0.3337 0.6663 0.2500
6 Cs 0.6663 0.3337 0.7500
7 Cs 0.6669 0.3331 0.1077
8 Cs 0.6669 0.3331 0.3923
9 Na 0.0008 0.9992 0.2500
10 Na 0.9992 0.0008 0.7500
11 Au 0.3336 0.6664 0.0703
12 Au 0.3336 0.6664 0.4297
13 Au 0.6664 0.3336 0.5703
14 Au 0.6664 0.3336 0.9297

Properties
space group: No. 63
energy: -0.130 Ry/atom
formation energy from the elements: -157 meV/atom

---

DFT (PBE) results for Li2TcCl after structural relaxation.

Cell lengths 4.6249, 4.6249, 4.9670 Å; angles 113.71, 113.71, 36.86 degrees
Fractional positions:
1 Li 0.0000 0.0000 0.0000
2 Li 0.2140 0.2140 0.7947
3 Tc 0.8029 0.8029 0.3754
4 Cl 0.5355 0.5355 0.3944

Properties
space group: No. 8
energy: -0.290 Ry/atom
energy relative to the elements, uncorrected: 26 kJ/mol of formula units

---

DFT (PBE) results for CsMgHBr2 after structural relaxation.

Cell lengths 5.7630, 5.7630, 4.0663 Å; angles 90.00, 90.00, 90.00 degrees
Fractional positions:
1 Cs 0.0000 0.0000 0.0000
2 Mg 0.5000 0.5000 0.5000
3 H 0.5000 0.5000 0.0000
4 Br 0.0000 0.5000 0.5000
5 Br 0.5000 0.0000 0.5000

Properties
space group: No. 123
energy: -0.216 Ry/atom

---

DFT (PBE) results for NaTlInPb after structural relaxation.

Cell lengths 4.3954, 5.0439, 5.0951 Å; angles 90.00, 90.00, 90.00 degrees
Fractional positions:
1 Na 0.0000 0.0000 0.0000
2 Tl 0.5000 0.5000 0.0000
3 In 0.0000 0.5000 0.5000
4 Pb 0.5000 0.0000 0.5000

Properties
space group: No. 47
energy: -0.192 Ry/atom
formation energy from the elements: -79 meV/atom

---

DFT (PBE) results for Rb2AcCd2Se4 after structural relaxation.

Cell lengths 8.8882, 8.8882, 8.6345 Å; angles 111.98, 111.98, 28.90 degrees
Fractional positions:
1 Rb 0.1279 0.1279 0.0597
2 Rb 0.8721 0.8721 0.9403
3 Ac 0.0000 0.0000 0.5000
4 Cd 0.3111 0.3111 0.4899
5 Cd 0.6889 0.6889 0.5101
6 Se 0.1954 0.1954 0.7133
7 Se 0.4707 0.4707 0.7277
8 Se 0.5293 0.5293 0.2723
9 Se 0.8046 0.8046 0.2867

Properties
space group: No. 12
energy: -0.261 Ry/atom
energy relative to the elements, uncorrected: -974 kJ/mol of formula units

---

DFT (PBE) results for PmY2Cu after structural relaxation.

Cell lengths 3.5262, 3.5262, 8.7809 Å; angles 90.00, 90.00, 90.00 degrees
Fractional positions:
1 Pm 0.0000 0.0000 0.0000
2 Y 0.5000 0.5000 0.3067
3 Y 0.5000 0.5000 0.6933
4 Cu 0.0000 0.0000 0.5000

Properties
space group: No. 123
energy: -0.407 Ry/atom
formation energy from the elements: -96 meV/atom

---

DFT (PBE) results for MgSiNi after structural relaxation.

Cell lengths 6.5470, 6.5470, 6.5470 Å; angles 145.04, 145.04, 50.28 degrees
Fractional positions:
1 Mg 0.1581 0.1581 0.0000
2 Mg 0.8419 0.8419 0.0000
3 Si 0.3903 0.3903 0.0000
4 Si 0.6097 0.6097 0.0000
5 Ni 0.0000 0.5000 0.5000
6 Ni 0.5000 0.0000 0.5000

Properties
space group: No. 139
energy: -0.342 Ry/atom
energy relative to the elements, uncorrected: -112 kJ/mol of formula units

---

DFT (PBE) results for Na2AlSnAu6 after structural relaxation.

Cell lengths 7.2379, 7.2379, 7.2379 Å; angles 60.00, 60.00, 60.00 degrees
Fractional positions:
1 Na 0.2500 0.2500 0.2500
2 Na 0.7500 0.7500 0.7500
3 Al 0.0000 0.0000 0.0000
4 Sn 0.5000 0.5000 0.5000
5 Au 0.2392 0.2392 0.7608
6 Au 0.2392 0.7608 0.2392
7 Au 0.2392 0.7608 0.7608
8 Au 0.7608 0.2392 0.2392
9 Au 0.7608 0.2392 0.7608
10 Au 0.7608 0.7608 0.2392

Properties
space group: No. 225
energy: -0.225 Ry/atom
formation energy from the elements: -55 meV/atom

---

DFT (PBE) results for CoNi2B2 after structural relaxation.

Cell lengths 5.2820, 5.2820, 3.0475 Å; angles 90.00, 90.00, 90.00 degrees
Fractional positions:
1 Co 0.0000 0.0000 0.0000
2 Co 0.5000 0.5000 0.0000
3 Ni 0.1724 0.3276 0.5000
4 Ni 0.3276 0.8276 0.5000
5 Ni 0.6724 0.1724 0.5000
6 Ni 0.8276 0.6724 0.5000
7 B 0.1235 0.6235 0.0000
8 B 0.3765 0.1235 0.0000
9 B 0.6235 0.8765 0.0000
10 B 0.8765 0.3765 0.0000

Properties
space group: No. 127
energy: -0.481 Ry/atom
formation energy from the elements: -145 meV/atom

---

DFT (PBE) results for Y2ZrAs2 after structural relaxation.

Cell lengths 7.1211, 7.1211, 7.1211 Å; angles 145.37, 145.37, 49.79 degrees
Fractional positions:
1 Y 0.2500 0.7500 0.5000
2 Y 0.7500 0.2500 0.5000
3 Zr 0.0000 0.0000 0.0000
4 As 0.4004 0.4004 0.0000
5 As 0.5996 0.5996 0.0000

Properties
space group: No. 139
energy: -0.482 Ry/atom
formation energy from the elements: -398 meV/atom

---

DFT (PBE) results for MgNpGa2 after structural relaxation.

Cell lengths 5.3082, 5.3082, 2.8799 Å; angles 90.00, 90.00, 90.00 degrees
Fractional positions:
1 Mg 0.0000 0.0000 0.0000
2 Np 0.5000 0.5000 0.0000
3 Ga 0.0000 0.5000 0.5000
4 Ga 0.5000 0.0000 0.5000

Properties
space group: No. 123
energy: -0.382 Ry/atom
formation energy from the elements: -46 meV/atom

---

DFT (PBE) results for Na5Cu4S4 after structural relaxation.

Cell lengths 8.1082, 8.1082, 8.1082 Å; angles 92.98, 92.98, 153.64 degrees
Fractional positions:
1 Na 0.0000 0.0000 0.0000
2 Na 0.2869 0.3628 0.6497
3 Na 0.3628 0.7131 0.0759
4 Na 0.6372 0.2869 0.9241
5 Na 0.7131 0.6372 0.3503
6 Cu 0.1045 0.5505 0.6550
7 Cu 0.4495 0.1045 0.5540
8 Cu 0.5505 0.8955 0.4460
9 Cu 0.8955 0.4495 0.3450
10 S 0.0562 0.2574 0.3136
11 S 0.2574 0.9438 0.2012
12 S 0.7426 0.0562 0.7988
13 S 0.9438 0.7426 0.6864

Properties
space group: No. 87
energy: -0.267 Ry/atom
energy relative to the elements, uncorrected: -740 kJ/mol of formula units

---

DFT (PBE) results for CuTcAs2 after structural relaxation.

Cell lengths 2.8281, 2.8281, 9.5603 Å; angles 90.00, 90.00, 112.49 degrees
Fractional positions:
1 Cu 0.0000 0.0000 0.0000
2 Tc 0.5000 0.5000 0.2241
3 As 0.0000 0.0000 0.4224
4 As 0.5000 0.5000 0.7975

Properties
space group: No. 35
energy: -0.414 Ry/atom
formation energy from the elements: 309 meV/atom

---

DFT (PBE) results for LiAc5Tl3 after structural relaxation.

Cell lengths 10.1607, 10.1607, 7.3310 Å; angles 90.00, 90.00, 120.00 degrees
Fractional positions:
1 Li 0.0000 0.0000 0.0000
2 Li 0.0000 0.0000 0.5000
3 Ac 0.0000 0.3030 0.2500
4 Ac 0.0000 0.6970 0.7500
5 Ac 0.3030 0.0000 0.2500
6 Ac 0.3030 0.3030 0.7500
7 Ac 0.3333 0.6667 0.0000
8 Ac 0.3333 0.6667 0.5000
9 Ac 0.6667 0.3333 0.0000
10 Ac 0.6667 0.3333 0.5000
11 Ac 0.6970 0.0000 0.7500
12 Ac 0.6970 0.6970 0.2500
13 Tl 0.0000 0.3547 0.7500
14 Tl 0.0000 0.6453 0.2500
15 Tl 0.3547 0.0000 0.7500
16 Tl 0.3547 0.3547 0.2500
17 Tl 0.6453 0.0000 0.2500
18 Tl 0.6453 0.6453 0.7500

Properties
space group: No. 193
energy: -0.256 Ry/atom
formation energy from the elements: -205 meV/atom

---

DFT (PBE) results for Dy2Ho5In after structural relaxation.

Cell lengths 6.6001, 6.6006, 7.0156 Å; angles 105.56, 105.62, 115.37 degrees
Fractional positions:
1 Dy 0.0000 0.0000 0.0000
2 Dy 0.4244 0.8932 0.3198
3 Ho 0.0109 0.9804 0.4923
4 Ho 0.4189 0.8875 0.8325
5 Ho 0.5116 0.4798 0.4922
6 Ho 0.5308 0.4686 0.9994
7 Ho 0.9450 0.4136 0.8325
8 In 0.9366 0.4056 0.3424

Properties
space group: No. 1
energy: -0.328 Ry/atom
formation energy from the elements: -109 meV/atom

---

DFT (PBE) results for Np2GeTe5 after structural relaxation.

Cell lengths 8.3986, 12.8113, 4.2730 Å; angles 90.00, 90.00, 90.00 degrees
Fractional positions:
1 Np 0.0382 0.1769 0.0000
2 Np 0.4618 0.6769 0.0000
3 Np 0.5382 0.3231 0.0000
4 Np 0.9618 0.8231 0.0000
5 Ge 0.0000 0.5000 0.5000
6 Ge 0.5000 0.0000 0.5000
7 Te 0.0000 0.0000 0.5000
8 Te 0.1708 0.6953 0.5000
9 Te 0.1779 0.4051 0.0000
10 Te 0.3221 0.9051 0.0000
11 Te 0.3292 0.1953 0.5000
12 Te 0.5000 0.5000 0.5000
13 Te 0.6708 0.8047 0.5000
14 Te 0.6779 0.0949 0.0000
15 Te 0.8221 0.5949 0.0000
16 Te 0.8292 0.3047 0.5000

Properties
space group: No. 55
energy: -0.458 Ry/atom
energy relative to the elements, uncorrected: -355 kJ/mol of formula units

---

DFT (PBE) results for NbBiS after structural relaxation.

Cell lengths 6.1990, 6.1990, 7.3667 Å; angles 99.10, 99.10, 31.21 degrees
Fractional positions:
1 Nb 0.0000 0.0000 0.0000
2 Nb 0.7364 0.7364 0.9415
3 Bi 0.0824 0.0824 0.6532
4 Bi 0.3654 0.3654 0.2540
5 S 0.3630 0.3630 0.8074
6 S 0.6252 0.6252 0.1903

Properties
space group: No. 8
energy: -0.475 Ry/atom
energy relative to the elements, uncorrected: -127 kJ/mol of formula units

---

DFT (PBE) results for TeSCl2 after structural relaxation.

Cell lengths 12.2536, 12.2536, 12.2536 Å; angles 15.20, 15.20, 15.20 degrees
Fractional positions:
1 Te 0.0000 0.0000 0.0000
2 S 0.5000 0.5000 0.5000
3 Cl 0.4407 0.4407 0.4407
4 Cl 0.5593 0.5593 0.5593

Properties
space group: No. 166
energy: -0.182 Ry/atom
energy relative to the elements, uncorrected: 104 kJ/mol of formula units

---

DFT (PBE) results for CaAc8Sm6 after structural relaxation.

Cell lengths 9.2604, 9.2604, 9.2604 Å; angles 66.81, 66.81, 66.81 degrees
Fractional positions:
1 Ca 0.0000 0.0000 0.0000
2 Ac 0.1373 0.4159 0.8184
3 Ac 0.1816 0.8627 0.5841
4 Ac 0.2686 0.2686 0.2686
5 Ac 0.4159 0.8184 0.1373
6 Ac 0.5841 0.1816 0.8627
7 Ac 0.7314 0.7314 0.7314
8 Ac 0.8184 0.1373 0.4159
9 Ac 0.8627 0.5841 0.1816
10 Sm 0.0656 0.6740 0.3743
11 Sm 0.3260 0.6257 0.9344
12 Sm 0.3743 0.0656 0.6740
13 Sm 0.6257 0.9344 0.3260
14 Sm 0.6740 0.3743 0.0656
15 Sm 0.9344 0.3260 0.6257

Properties
space group: No. 148
energy: -0.292 Ry/atom
formation energy from the elements: 242 meV/atom

---

DFT (PBE) results for Sr6I5Br7 after structural relaxation.

Cell lengths 14.4258, 7.4277, 7.4277 Å; angles 85.03, 90.00, 90.00 degrees
Fractional positions:
1 Sr 0.0000 0.0000 0.0000
2 Sr 0.1600 0.5251 0.5251
3 Sr 0.3328 0.0223 0.0223
4 Sr 0.5000 0.5205 0.5205
5 Sr 0.6672 0.0223 0.0223
6 Sr 0.8400 0.5251 0.5251
7 I 0.0000 0.3114 0.3114
8 I 0.3296 0.3228 0.3228
9 I 0.3313 0.7215 0.7215
10 I 0.6687 0.7215 0.7215
11 I 0.6704 0.3228 0.3228
12 Br 0.0000 0.7123 0.7123
13 Br 0.1648 0.2090 0.8218
14 Br 0.1648 0.8218 0.2090
15 Br 0.5000 0.2158 0.8298
16 Br 0.5000 0.8298 0.2158
17 Br 0.8352 0.2090 0.8218
18 Br 0.8352 0.8218 0.2090

Properties
space group: No. 38
energy: -0.262 Ry/atom
energy relative to the elements, uncorrected: -3347 kJ/mol of formula units